DFT (PBE-GGA) results for an optimized crystal structure of LiOs2Se.

Cell lengths 2.7025, 2.7025, 9.4087 Å; angles 90.00, 90.00, 118.06 degrees
Sites, in units of the cell vectors:
Li 0.5000 0.5000 0.7500
Os 0.0000 0.0000 0.9929
Os 0.0000 0.0000 0.5071
Se 0.5000 0.5000 0.2500

Calculated values
E_tot = -6.21 eV per atom
V = 60.6 Å³/cell
total magnetization = 0.000 μB per atom